ZrSi2Au | GGA-PBE | optimized geometry

Total magnetization in μB/cell: 0.0
E in eV/cell: -24.06
Formation energy from raw total energies in eV/f.u.: -1.386

Cell: 3.7338 3.9570 4.5809 Å, 90.00 90.00 90.00°
Last column: nearest neighbours and their distance in Å.
Space group Pmmm (No. 47)
Asymmetric unit:
Zr 0.0000 0.0000 0.0000  8 Si 2.72-2.95, 4 Au 3.03
Si 0.5000 0.0000 0.5000  4 Au 2.72, 4 Zr 2.95, 4 Si 3.03
Si 0.5000 0.5000 0.0000  4 Zr 2.72, 4 Au 2.95, 4 Si 3.03
Au 0.0000 0.5000 0.5000  8 Si 2.72-2.95, 4 Zr 3.03